[1]
# Cs2ZrAg2Se4

An optimized crystal structure of Cs2ZrAg2Se4 (PBE, OQMD via LeMat-Bulk).

Cell lengths 6.3594, 14.6156, 6.3462 Å; angles 90.00, 90.00, 90.00 degrees
Last column: nearest neighbours and their distance in Å.
Space group C222 (No. 21)
Inequivalent atoms, fractional coordinates:
Cs 0.2500 0.2500 0.2377  8 Se 3.74-3.93
Zr 0.0000 0.0000 0.5000  4 Se 2.57
Ag 0.0000 0.0000 0.0000  4 Se 2.72
Ag 0.0000 0.5000 0.5000  4 Se 2.71
Se 0.2314 0.1038 0.7308  1 Zr 2.57, 2 Ag 2.71-2.72

Crystal system = orthorhombic

---

[2]
# CsSiAg

An optimized crystal structure of CsSiAg (PBE, OQMD via LeMat-Bulk).

Cell lengths 7.9076, 7.9076, 7.9076 Å; angles 90.00, 90.00, 90.00 degrees
Last column: nearest neighbours and their distance in Å.
Space group F-43m (No. 216)
Inequivalent atoms, fractional coordinates:
Cs 0.0000 0.0000 0.0000  4 Ag 3.42, 4 Si 3.42
Si 0.2500 0.2500 0.2500  4 Cs 3.42
Ag 0.2500 0.2500 0.7500  4 Cs 3.42

Distance to the lowest polymorph of the same formula = 1.40 eV per formula unit
Crystal system = cubic

---

[3]
# CsSiAg

An optimized crystal structure of CsSiAg (PBE, OQMD via LeMat-Bulk).

Cell lengths 7.4417, 7.4417, 7.4417 Å; angles 90.00, 90.00, 90.00 degrees
Last column: nearest neighbours and their distance in Å.
Space group F-43m (No. 216)
Inequivalent atoms, fractional coordinates:
Cs 0.0000 0.0000 0.0000  4 Ag 3.22
Si 0.0000 0.0000 0.5000  4 Ag 3.22
Ag 0.2500 0.2500 0.2500  4 Si 3.22, 4 Cs 3.22

Distance to the lowest polymorph of the same formula = 0.00 eV per formula unit
Crystal system = cubic

---

[4]
# CsSiAgTe3

An optimized crystal structure of CsSiAgTe3 (PBE, OQMD via LeMat-Bulk).

Cell lengths 3.8656, 17.4346, 11.4184 Å; angles 90.00, 90.00, 90.00 degrees
Last column: nearest neighbours and their distance in Å.
Space group Cmcm (No. 63)
Inequivalent atoms, fractional coordinates:
Cs 0.0000 0.2421 0.2500  2 Ag 3.77, 8 Te 3.82-4.11, 2 Cs 3.87
Si 0.0000 0.5000 0.0000  6 Te 2.78-2.97
Ag 0.0000 0.0722 0.7500  4 Te 2.71-2.84
Te 0.0000 0.1137 0.5212  1 Ag 2.71, 2 Si 2.78
Te 0.0000 0.4530 0.7500  2 Ag 2.84, 2 Si 2.97

Distance to the lowest polymorph of the same formula = 0.44 eV per formula unit
Crystal system = orthorhombic

---

Calculated total DFT energy (no corrections), -4.333, -1.683, -2.149, -3.295 eV/atom (same order as the records).